First-principles (PBE-GGA) data for an optimized crystal structure of GaSi3Mo, as listed in the Alexandria database.

Summary:
raw formation energy	1.435	eV/atom
symmetry	Pm-3m

Lattice parameters (Å, degrees): 4.670 4.670 4.670 90.00 90.00 90.00
Fractional positions:
Ga  0.000  0.000  0.000
Si  0.000  0.000  0.500
Si  0.000  0.500  0.000
Si  0.500  0.000  0.000
Mo  0.500  0.500  0.500